{"formula": "Pm8Tm5Zr", "functional": "GGA-PBE", "state": "optimized geometry", "lattice_angstrom": [[-1.423, 2.421, -8.185], [-1.087, -8.249, -0.062], [-5.177, 3.748, 5.833]], "species": ["Pm", "Pm", "Tm", "Pm", "Pm", "Pm", "Tm", "Pm", "Pm", "Tm", "Tm", "Pm", "Zr", "Tm"], "fractional_positions": [[0.615, 0.769, 0.838], [0.161, 0.709, 0.462], [0.987, 0.023, 0.380], [0.016, 0.656, 0.994], [0.069, 0.231, 0.846], [0.482, 0.309, 0.812], [0.846, 0.252, 0.099], [0.503, 0.691, 0.173], [0.338, 0.344, 0.360], [0.357, 0.977, 0.964], [0.847, 0.748, 0.593], [0.753, 0.291, 0.452], [0.205, 0.500, 0.705], [0.573, 0.000, 0.573]], "mass_density_kg_m3": 7451, "final_energy_ev_per_atom": -4.730, "spacegroup": "No. 5"}